Density functional theory data (PBE-GGA) for an optimized crystal structure of Pr5Mg2Pb5.

Lattice parameters (Å, degrees): 14.803 4.735 12.859 90.00 122.08 90.00
Space group C2/m (No. 12)
One atom of each set of equivalent atoms:
Pr 0.000 0.000 0.000 [2 per cell]
Pr 0.148 0.000 0.489 [4 per cell]
Pr 0.158 0.000 0.796 [4 per cell]
Mg 0.092 0.500 0.264 [4 per cell]
Pb 0.000 0.500 0.500 [2 per cell]
Pb 0.122 0.500 0.946 [4 per cell]
Pb 0.228 0.000 0.288 [4 per cell]

Summary:
Total magnetization = 0.0 Bohr magnetons per cell
E_form = -365 meV/atom



Density functional theory data (PBE-GGA) for an optimized crystal structure of PrMgPb3.

Lattice parameters (Å, degrees): 3.507 9.031 10.239 71.18 80.93 89.69
Space group P-1 (No. 2)
One atom of each set of equivalent atoms:
Pr 0.022 0.296 0.449 [2 per cell]
Mg 0.226 0.136 0.033 [2 per cell]
Pb 0.323 0.623 0.866 [2 per cell]
Pb 0.404 0.344 0.731 [2 per cell]
Pb 0.422 0.987 0.671 [2 per cell]

Summary:
Energy above the most stable polymorph in this dataset = 11.2 kJ/mol of atoms
Total magnetization = 0.0 Bohr magnetons per cell
E_form = -161 meV/atom



Density functional theory data (PBE-GGA) for an optimized crystal structure of Pr3MgPb2.

Lattice parameters (Å, degrees): 6.697 17.364 6.568 90.00 90.00 90.00
Space group Ibam (No. 72)
One atom of each set of equivalent atoms:
Pr 0.000 0.000 0.250 [4 per cell]
Pr 0.245 0.324 0.000 [8 per cell]
Mg 0.000 0.500 0.250 [4 per cell]
Pb 0.244 0.366 0.500 [8 per cell]

Summary:
Total magnetization = 7.1 Bohr magnetons per cell
E_form = -373 meV/atom



Density functional theory data (PBE-GGA) for an optimized crystal structure of Pr4MgPb2.

Lattice parameters (Å, degrees): 8.066 6.639 9.058 90.00 111.15 90.00
Space group P2_1/m (No. 11)
One atom of each set of equivalent atoms:
Pr 0.000 0.250 0.022 [2 per cell]
Pr 0.172 0.004 0.718 [4 per cell]
Pr 0.330 0.750 0.384 [2 per cell]
Mg 0.442 0.250 0.205 [2 per cell]
Pb 0.227 0.250 0.417 [2 per cell]
Pb 0.428 0.750 0.067 [2 per cell]

Summary:
Total magnetization = 0.0 Bohr magnetons per cell
E_form = -240 meV/atom



Density functional theory data (PBE-GGA) for an optimized crystal structure of Pr2MgPb4.

Lattice parameters (Å, degrees): 4.695 4.695 9.844 90.00 90.00 90.00
Space group P-4m2 (No. 115)
One atom of each set of equivalent atoms:
Pr 0.000 0.500 0.234 [2 per cell]
Mg 0.500 0.500 0.000 [1 per cell]
Pb 0.000 0.000 0.500 [1 per cell]
Pb 0.000 0.500 0.812 [2 per cell]
Pb 0.500 0.500 0.500 [1 per cell]

Summary:
Total magnetization = 0.0 Bohr magnetons per cell
E_form = -260 meV/atom



Density functional theory data (PBE-GGA) for an optimized crystal structure of PrMg2Pb2.

Lattice parameters (Å, degrees): 5.1886 5.1886 13.1771 90.00 90.00 120.00
Space group P6_3/mmc (No. 194)
One atom of each set of equivalent atoms:
Pr 0.0000 0.0000 0.2500 [2 per cell]
Mg 0.0000 0.0000 0.0000 [2 per cell]
Mg 0.3333 0.6667 0.2500 [2 per cell]
Pb 0.3333 0.6667 0.6213 [4 per cell]

Summary:
Energy above the most stable polymorph in this dataset = 32.6 kJ/mol of atoms
Total magnetization = 0.0 Bohr magnetons per cell
E_form = 27 meV/atom



Density functional theory data (PBE-GGA) for an optimized crystal structure of Pr8MgPb6.

Lattice parameters (Å, degrees): 9.6423 9.6423 19.7975 90.00 90.00 120.00
Space group R-3 (No. 148, hexagonal axes)
One atom of each set of equivalent atoms:
Pr 0.0000 0.0000 0.1681 [6 per cell]
Pr 0.0062 0.7132 0.5953 [18 per cell]
Mg 0.0000 0.0000 0.5000 [3 per cell]
Pb 0.0034 0.6377 0.4261 [18 per cell]

Summary:
Total magnetization = 0.0 Bohr magnetons per cell
E_form = -397 meV/atom



Density functional theory data (PBE-GGA) for an optimized crystal structure of Pr7MgPb4.

Lattice parameters (Å, degrees): 14.795 5.934 11.559 90.00 125.61 90.00
Space group C2/m (No. 12)
One atom of each set of equivalent atoms:
Pr 0.000 0.000 0.000 [2 per cell]
Pr 0.073 0.500 0.331 [4 per cell]
Pr 0.157 0.000 0.579 [4 per cell]
Pr 0.205 0.500 0.877 [4 per cell]
Mg 0.000 0.500 0.000 [2 per cell]
Pb 0.073 0.000 0.778 [4 per cell]
Pb 0.213 0.000 0.333 [4 per cell]

Summary:
Total magnetization = 0.0 Bohr magnetons per cell
E_form = -209 meV/atom